(1)
Compound: Ir2OsRu
Source: Alexandria
Functional: SCAN
Structure: PBEsol geometry

Geometry as extended XYZ:
```
4
Lattice="4.477 -1.346 0.000 4.477 1.346 0.000 -0.808 0.000 4.589" Properties=species:S:1:pos:R:3 pbc="T T T"
Ir 2.032 0.000 1.148
Ir 6.115 0.000 3.442
Os 4.477 0.000 0.000
Ru -0.404 0.000 2.295
```

Output
magnetization	0.00	μB/f.u.
DFT formation energy	0.02	eV per formula unit
final energy	-62.22	eV per atom

(2)
Compound: Sr4Fe3ClO8
Source: Alexandria
Functional: SCAN
Structure: PBEsol geometry

Geometry as extended XYZ:
```
16
Lattice="3.858 0.000 0.000 0.000 3.858 0.000 0.000 0.000 15.011" Properties=species:S:1:pos:R:3 pbc="T T T"
Sr 0.000 0.000 1.766
Sr 0.000 0.000 5.500
Sr 0.000 0.000 9.511
Sr 0.000 0.000 13.245
Fe 1.929 1.929 0.000
Fe 1.929 1.929 3.761
Fe 1.929 1.929 11.250
Cl 1.929 1.929 7.506
O 0.000 1.929 0.000
O 0.000 1.929 4.112
O 0.000 1.929 10.899
O 1.929 0.000 0.000
O 1.929 0.000 4.112
O 1.929 0.000 10.899
O 1.929 1.929 1.904
O 1.929 1.929 13.107
```

Output
magnetization	12.13	μB/f.u.
final energy	-14.95	eV per atom
uncorrected formation energy	-2.372	eV per atom

(3)
Compound: CuHSCl2
Source: Alexandria
Functional: SCAN
Structure: PBEsol geometry

Geometry as extended XYZ:
```
5
Lattice="4.733 0.000 0.000 0.000 4.733 0.000 0.000 0.000 4.392" Properties=species:S:1:pos:R:3 pbc="T T T"
Cu 0.000 0.000 0.000
H 2.367 2.367 2.196
S 0.000 0.000 2.196
Cl 0.000 2.367 0.000
Cl 2.367 0.000 0.000
```

Output
magnetization	2.86	μB/f.u.
final energy	-8.31	eV per atom

(4)
Compound: LiNiBr
Source: Alexandria
Functional: SCAN
Structure: PBEsol geometry

Geometry as extended XYZ:
```
3
Lattice="0.000 2.842 2.842 2.842 0.000 2.842 2.842 2.842 0.000" Properties=species:S:1:pos:R:3 pbc="T T T"
Li 0.000 0.000 0.000
Ni 4.263 4.263 4.263
Br 1.421 1.421 1.421
```

Output
magnetization	0.39	μB/f.u.
final energy	-12.46	eV per atom
uncorrected formation energy	0.218	eV per atom

(5)
Compound: ZnCd2Ir
Source: Alexandria
Functional: SCAN
Structure: PBEsol geometry

Geometry as extended XYZ:
```
4
Lattice="3.101 0.000 0.000 0.000 3.101 0.000 0.000 0.000 7.006" Properties=species:S:1:pos:R:3 pbc="T T T"
Zn 0.000 0.000 0.000
Cd 0.000 0.000 3.945
Cd 1.551 1.551 1.814
Ir 1.551 1.551 5.741
```

Output
magnetization	0.00	μB/f.u.
DFT formation energy	0.06	eV per formula unit
final energy	-36.34	eV per atom

(6)
Compound: CuSiCl2
Source: Alexandria
Functional: SCAN
Structure: PBEsol geometry

Geometry as extended XYZ:
```
4
Lattice="3.061 0.000 0.000 0.000 3.061 0.000 0.000 0.000 7.599" Properties=species:S:1:pos:R:3 pbc="T T T"
Cu 0.000 0.000 0.000
Si 1.531 1.531 1.478
Cl 0.000 0.000 3.173
Cl 1.531 1.531 6.266
```

Output
magnetization	0.00	μB/f.u.
final energy	-10.26	eV per atom
uncorrected formation energy	0.028	eV per atom

(7)
Compound: RePBr2
Source: Alexandria
Functional: SCAN
Structure: PBEsol geometry

Geometry as extended XYZ:
```
4
Lattice="1.481 -2.764 0.000 1.481 2.764 0.000 0.000 0.000 9.125" Properties=species:S:1:pos:R:3 pbc="T T T"
Re 0.000 0.000 0.000
P 0.000 0.000 4.562
Br 1.481 0.000 2.046
Br 1.481 0.000 7.079
```

Output
magnetization	0.00	μB/f.u.
final energy	-28.92	eV per atom
uncorrected formation energy	1.181	eV per atom

(8)
Compound: Bi2TeO
Source: Alexandria
Functional: SCAN
Structure: PBEsol geometry

Geometry as extended XYZ:
```
8
Lattice="-2.829 2.829 7.262 2.829 -2.829 7.262 2.829 2.829 -7.262" Properties=species:S:1:pos:R:3 pbc="T T T"
Bi 0.675 1.414 1.815
Bi -1.414 2.154 5.446
Bi -0.675 4.243 1.815
Bi 1.414 3.504 5.446
Te 2.829 0.000 3.631
Te 0.000 0.000 7.262
O 0.000 0.000 0.000
O 0.000 2.829 3.631
```

Output
magnetization	0.00	μB/f.u.
final energy	-50.33	eV per atom
uncorrected formation energy	-0.169	eV per atom

(9)
Compound: Cu2TeW
Source: Alexandria
Functional: SCAN
Structure: PBEsol geometry

Geometry as extended XYZ:
```
4
Lattice="2.760 0.000 0.000 0.000 3.840 0.000 -0.774 0.000 6.153" Properties=species:S:1:pos:R:3 pbc="T T T"
Cu 0.091 0.000 1.241
Cu 1.895 0.000 4.913
Te 0.993 1.920 3.077
W 1.380 1.920 0.000
```

Output
magnetization	0.00	μB/f.u.
final energy	-33.65	eV per atom
uncorrected formation energy	0.687	eV per atom

(10)
Compound: OsSe3I
Source: Alexandria
Functional: SCAN
Structure: PBEsol geometry

Geometry as extended XYZ:
```
5
Lattice="5.241 0.000 0.000 0.000 5.241 0.000 0.000 0.000 5.241" Properties=species:S:1:pos:R:3 pbc="T T T"
Os 0.000 0.000 0.000
Se 0.000 2.621 2.621
Se 2.621 0.000 2.621
Se 2.621 2.621 0.000
I 2.621 2.621 2.621
```

Output
magnetization	4.62	μB/f.u.
final energy	-31.70	eV per atom
uncorrected formation energy	2.068	eV per atom

(11)
Compound: AlZnCd2
Source: Alexandria
Functional: SCAN
Structure: PBEsol geometry

Geometry as extended XYZ:
```
4
Lattice="4.190 0.000 0.000 0.000 4.190 0.000 0.000 0.000 4.192" Properties=species:S:1:pos:R:3 pbc="T T T"
Al 0.000 0.000 0.000
Zn 2.095 2.095 0.000
Cd 0.000 2.095 2.096
Cd 2.095 0.000 2.096
```

Output
magnetization	0.00	μB/f.u.
DFT formation energy	0.47	eV per formula unit
final energy	-20.41	eV per atom

(12)
Compound: In3BiIr
Source: Alexandria
Functional: SCAN
Structure: PBEsol geometry

Geometry as extended XYZ:
```
5
Lattice="5.597 0.000 0.000 0.000 5.597 0.000 0.000 0.000 5.597" Properties=species:S:1:pos:R:3 pbc="T T T"
In 0.000 0.000 2.799
In 0.000 2.799 0.000
In 2.799 0.000 0.000
Bi 0.000 0.000 0.000
Ir 2.799 2.799 2.799
```

Output
magnetization	1.38	μB/f.u.
DFT formation energy	7.75	eV per formula unit
final energy	-48.42	eV per atom

(13)
Compound: Mg2OsRu
Source: Alexandria
Functional: SCAN
Structure: PBEsol geometry

Geometry as extended XYZ:
```
4
Lattice="2.846 0.000 0.000 0.000 2.846 0.000 0.000 0.000 8.126" Properties=species:S:1:pos:R:3 pbc="T T T"
Mg 0.000 0.000 0.000
Mg 1.423 1.423 2.667
Os 0.000 0.000 4.617
Ru 1.423 1.423 6.199
```

Output
magnetization	0.00	μB/f.u.
DFT formation energy	-0.10	eV per formula unit
final energy	-29.19	eV per atom

(14)
Compound: CeIn5Rh
Source: Alexandria
Functional: SCAN
Structure: PBEsol geometry

Geometry as extended XYZ:
```
7
Lattice="4.618 0.000 0.000 0.000 4.618 0.000 0.000 0.000 7.411" Properties=species:S:1:pos:R:3 pbc="T T T"
Ce 0.000 0.000 0.000
In 0.000 2.309 2.237
In 0.000 2.309 5.174
In 2.309 0.000 2.237
In 2.309 0.000 5.174
In 2.309 2.309 0.000
Rh 0.000 0.000 3.705
```

Output
magnetization	1.08	μB/f.u.
DFT formation energy	-3.79	eV per formula unit
final energy	-35.58	eV per atom

(15)
Compound: YBe2Co
Source: Alexandria
Functional: SCAN
Structure: PBEsol geometry

Geometry as extended XYZ:
```
4
Lattice="2.898 0.000 0.000 0.000 2.898 0.000 0.000 0.000 6.335" Properties=species:S:1:pos:R:3 pbc="T T T"
Y 0.000 0.000 0.000
Be 0.000 0.000 3.413
Be 1.449 1.449 2.250
Co 1.449 1.449 4.408
```

Output
magnetization	0.47	μB/f.u.
DFT formation energy	0.65	eV per formula unit
final energy	-13.30	eV per atom

(16)
Compound: CdCu2Sn3S8
Source: Alexandria
Functional: SCAN
Structure: PBEsol geometry

Geometry as extended XYZ:
```
14
Lattice="3.700 2.136 6.025 -3.700 2.136 6.025 0.000 -4.272 6.025" Properties=species:S:1:pos:R:3 pbc="T T T"
Cd 0.000 0.000 0.000
Cu 0.000 0.000 6.998
Cu 0.000 0.000 11.075
Sn -3.700 0.000 9.037
Sn -1.850 1.068 3.012
Sn 1.850 1.068 3.012
S -1.882 -1.087 10.478
S 0.000 -2.174 7.595
S -1.882 1.087 7.595
S 0.000 0.000 4.553
S 0.000 0.000 13.520
S 1.882 -1.087 10.478
S 0.000 2.174 10.478
S 1.882 1.087 7.595
```

Output
magnetization	0.00	μB/f.u.
final energy	-17.99	eV per atom
uncorrected formation energy	-0.448	eV per atom

(17)
Compound: HfAlIN2
Source: Alexandria
Functional: SCAN
Structure: PBEsol geometry

Geometry as extended XYZ:
```
5
Lattice="4.157 0.000 0.000 0.000 4.157 0.000 0.000 0.000 5.800" Properties=species:S:1:pos:R:3 pbc="T T T"
Hf 0.000 0.000 0.000
Al 2.079 2.079 2.900
I 0.000 0.000 2.900
N 0.000 2.079 0.000
N 2.079 0.000 0.000
```

Output
magnetization	1.27	μB/f.u.
final energy	-24.82	eV per atom
uncorrected formation energy	0.327	eV per atom

(18)
Compound: HPt2Se
Source: Alexandria
Functional: SCAN
Structure: PBEsol geometry

Geometry as extended XYZ:
```
4
Lattice="0.000 2.997 2.997 2.997 0.000 2.997 2.997 2.997 0.000" Properties=species:S:1:pos:R:3 pbc="T T T"
H 0.000 0.000 0.000
Pt 1.498 1.498 1.498
Pt 4.495 4.495 4.495
Se 2.997 2.997 2.997
```

Output
magnetization	0.00	μB/f.u.
final energy	-40.26	eV per atom

(19)
Compound: YInCu
Source: Alexandria
Functional: SCAN
Structure: PBEsol geometry

Geometry as extended XYZ:
```
9
Lattice="7.433 0.000 0.000 -3.717 6.437 0.000 0.000 0.000 3.794" Properties=species:S:1:pos:R:3 pbc="T T T"
Y -2.197 3.806 0.000
Y 1.519 2.632 0.000
Y 4.395 0.000 0.000
In -0.954 1.652 1.897
In 1.908 0.000 1.897
In 2.763 4.785 1.897
Cu 0.000 0.000 0.000
Cu 0.000 4.292 1.897
Cu 3.717 2.146 1.897
```

Output
magnetization	0.00	μB/f.u.
DFT formation energy	-1.68	eV per formula unit
final energy	-26.04	eV per atom

(20)
Compound: GeTePt3
Source: Alexandria
Functional: SCAN
Structure: PBEsol geometry

Geometry as extended XYZ:
```
5
Lattice="4.891 0.000 0.000 0.000 4.891 0.000 0.000 0.000 4.891" Properties=species:S:1:pos:R:3 pbc="T T T"
Ge 0.000 0.000 0.000
Te 2.445 2.445 2.445
Pt 0.000 2.445 2.445
Pt 2.445 0.000 2.445
Pt 2.445 2.445 0.000
```

Output
magnetization	0.00	μB/f.u.
final energy	-52.55	eV per atom
uncorrected formation energy	0.829	eV per atom

(21)
Compound: KCrF3
Source: Alexandria
Functional: SCAN
Structure: PBEsol geometry

Geometry as extended XYZ:
```
5
Lattice="4.554 0.000 0.000 0.000 4.554 0.000 0.000 0.000 4.554" Properties=species:S:1:pos:R:3 pbc="T T T"
K 0.000 0.000 0.000
Cr 2.277 2.277 2.277
F 0.000 0.000 2.277
F 0.000 2.277 0.000
F 2.277 0.000 0.000
```

Output
magnetization	4.61	μB/f.u.
final energy	-8.71	eV per atom
uncorrected formation energy	-1.248	eV per atom

(22)
Compound: LaScNi2
Source: Alexandria
Functional: SCAN
Structure: PBEsol geometry

Geometry as extended XYZ:
```
4
Lattice="3.264 0.000 0.000 0.000 3.264 0.000 0.000 0.000 6.701" Properties=species:S:1:pos:R:3 pbc="T T T"
La 0.000 0.000 0.000
Sc 0.000 0.000 3.350
Ni 1.632 1.632 1.984
Ni 1.632 1.632 4.717
```

Output
magnetization	0.00	μB/f.u.
DFT formation energy	-1.27	eV per formula unit
final energy	-22.74	eV per atom

(23)
Compound: TcBi3S
Source: Alexandria
Functional: SCAN
Structure: PBEsol geometry

Geometry as extended XYZ:
```
5
Lattice="5.214 0.000 0.000 0.000 5.214 0.000 0.000 0.000 5.214" Properties=species:S:1:pos:R:3 pbc="T T T"
Tc 0.000 0.000 0.000
Bi 0.000 2.607 2.607
Bi 2.607 0.000 2.607
Bi 2.607 2.607 0.000
S 2.607 2.607 2.607
```

Output
magnetization	3.14	μB/f.u.
final energy	-54.90	eV per atom
uncorrected formation energy	1.183	eV per atom

(24)
Compound: BaSbTeI2
Source: Alexandria
Functional: SCAN
Structure: PBEsol geometry

Geometry as extended XYZ:
```
5
Lattice="6.425 0.000 0.000 0.000 6.425 0.000 0.000 0.000 6.780" Properties=species:S:1:pos:R:3 pbc="T T T"
Ba 0.000 0.000 0.000
Sb 3.213 3.213 3.390
Te 0.000 0.000 3.390
I 0.000 3.213 0.000
I 3.213 0.000 0.000
```

Output
magnetization	0.99	μB/f.u.
final energy	-37.67	eV per atom
uncorrected formation energy	-0.161	eV per atom

(25)
Compound: Mg3TiF
Source: Alexandria
Functional: SCAN
Structure: PBEsol geometry

Geometry as extended XYZ:
```
5
Lattice="4.449 0.000 0.000 0.000 4.449 0.000 0.000 0.000 4.449" Properties=species:S:1:pos:R:3 pbc="T T T"
Mg 0.000 0.000 2.225
Mg 0.000 2.225 0.000
Mg 2.225 0.000 0.000
Ti 2.225 2.225 2.225
F 0.000 0.000 0.000
```

Output
magnetization	2.75	μB/f.u.
final energy	-7.59	eV per atom
uncorrected formation energy	-0.695	eV per atom

(26)
Compound: TlInOs2
Source: Alexandria
Functional: SCAN
Structure: PBEsol geometry

Geometry as extended XYZ:
```
4
Lattice="1.471 0.849 9.479 -1.471 0.849 9.479 0.000 -1.699 9.479" Properties=species:S:1:pos:R:3 pbc="T T T"
Tl 0.000 0.000 0.000
In 0.000 0.000 6.681
Os 0.000 0.000 13.869
Os 0.000 0.000 21.376
```

Output
magnetization	0.00	μB/f.u.
DFT formation energy	2.70	eV per formula unit
final energy	-61.70	eV per atom

(27)
Compound: Zr2Tl
Source: Alexandria
Functional: SCAN
Structure: PBEsol geometry

Geometry as extended XYZ:
```
3
Lattice="3.284 0.000 0.000 -1.642 2.844 0.000 0.000 0.000 7.403" Properties=species:S:1:pos:R:3 pbc="T T T"
Zr 0.000 1.896 2.505
Zr 1.642 0.948 4.898
Tl 0.000 0.000 0.000
```

Output
magnetization	0.00	μB/f.u.
DFT formation energy	-0.37	eV per formula unit
final energy	-44.71	eV per atom

(28)
Compound: Cd2NiTe
Source: Alexandria
Functional: SCAN
Structure: PBEsol geometry

Geometry as extended XYZ:
```
4
Lattice="2.984 0.000 0.000 0.000 3.307 0.000 0.000 0.000 8.082" Properties=species:S:1:pos:R:3 pbc="T T T"
Cd 0.000 0.000 0.000
Cd 1.492 1.653 2.123
Ni 0.000 0.000 3.857
Te 1.492 1.653 5.272
```

Output
magnetization	0.00	μB/f.u.
final energy	-28.45	eV per atom
uncorrected formation energy	0.118	eV per atom